Entry 1:
# SmMgScPb

A relaxed structure of SmMgScPb (PBE-GGA, Alexandria via LeMat-Bulk).

Cell lengths 5.2763, 5.2763, 5.2763 Å; angles 60.00, 60.00, 60.00 degrees
Last column: nearest neighbours and their distance in Å.
Positions (direct):
Sm  0.0000  0.0000  0.0000  4 Mg 3.23, 4 Pb 3.23
Mg  0.7500  0.7500  0.7500  4 Sc 3.23, 4 Sm 3.23
Sc  0.5000  0.5000  0.5000  4 Pb 3.23, 4 Mg 3.23
Pb  0.2500  0.2500  0.2500  4 Sc 3.23, 4 Sm 3.23

Summary:
Total moment   0.000 μB/atom
DOS at the Fermi energy   1.13 states/eV per atom
Formation energy from the elements   -24.2 kJ per mole of atoms
Total DFT energy (no corrections)   -4.34 eV per atom

Entry 2:
# TlCoAg2

A relaxed structure of TlCoAg2 (PBE-GGA, Alexandria via LeMat-Bulk).

Cell lengths 4.9231, 4.9231, 4.9231 Å; angles 128.59, 128.59, 75.67 degrees
Last column: nearest neighbours and their distance in Å.
Positions (direct):
Tl  0.0000  0.0000  0.0000  4 Co 2.89, 8 Ag 2.89-3.02
Co  0.2500  0.7500  0.5000  8 Ag 2.89-3.02, 4 Tl 2.89
Ag  0.5000  0.5000  0.0000  4 Co 2.89, 4 Ag 2.89, 4 Tl 3.02
Ag  0.7500  0.2500  0.5000  4 Ag 2.89, 4 Tl 2.89, 4 Co 3.02

Summary:
E above lowest polymorph   0.065 eV per atom
Total moment   0.365 μB/atom
DOS at the Fermi energy   1.30 states/eV per atom
Formation energy from the elements   40.9 kJ per mole of atoms
Total DFT energy (no corrections)   -3.37 eV per atom